1.
12
Lattice="6.037 0.000 0.000 3.019 5.228 0.000 3.019 1.743 9.580" Properties=species:S:1:pos:R:3 comment="Ca3Mg2Cd7 (GGA-PBE, optimized geometry)" total_energy_ev_per_cell=-18.58 magnetic_moment_mub_per_cell=0.00 sg=R-3m formation_energy_ev_per_atom=-0.2485 vol_a3_per_cell=302.40 pbc="T T T"
Cd 6.037 1.712 7.173
Cd 6.037 3.486 4.790
Cd 4.501 4.372 7.173
Cd 6.037 5.259 2.407
Cd 4.501 2.599 2.407
Cd 7.573 2.599 2.407
Cd 7.573 4.372 7.173
Ca 9.056 5.228 4.082
Ca 0.000 0.000 0.000
Ca 3.019 1.743 5.498
Mg 6.037 3.486 9.563
Mg 6.037 3.486 0.017

2.
8
Lattice="3.743 0.000 0.000 0.000 3.743 0.000 0.000 0.000 15.174" Properties=species:S:1:pos:R:3 comment="Ca3MgCd4 (GGA-PBE, optimized geometry)" total_energy_ev_per_cell=-13.59 magnetic_moment_mub_per_cell=0.00 sg=P4/mmm formation_energy_ev_per_atom=-0.2910 vol_a3_per_cell=212.58 pbc="T T T"
Mg 1.871 1.871 0.000
Ca 1.871 1.871 11.545
Ca 1.871 1.871 7.587
Ca 1.871 1.871 3.629
Cd 0.000 0.000 13.551
Cd 0.000 0.000 9.574
Cd 0.000 0.000 1.624
Cd 0.000 0.000 5.600

3.
4
Lattice="5.068 0.000 0.000 0.000 3.523 0.004 0.000 1.163 5.931" Properties=species:S:1:pos:R:3 comment="CaMg2Cd (GGA-PBE, optimized geometry)" total_energy_ev_per_cell=-6.50 magnetic_moment_mub_per_cell=0.00 sg=P2/m formation_energy_ev_per_atom=-0.0975 vol_a3_per_cell=105.86 pbc="T T T"
Ca 2.534 1.171 1.484
Mg 0.000 4.283 5.812
Mg 0.000 2.745 3.090
Cd 2.534 3.514 4.451

4.
10
Lattice="-7.484 -2.768 1.702 3.249 -6.410 3.863 0.014 2.246 3.715" Properties=species:S:1:pos:R:3 comment="Ca2MgCd2 (GGA-PBE, optimized geometry)" total_energy_ev_per_cell=-17.38 magnetic_moment_mub_per_cell=0.00 de_polymorph_kj_per_mol_atoms=1.3 sg=P4/mbm formation_energy_ev_per_atom=-0.2520 vol_a3_per_cell=288.98 pbc="T T T"
Cd 0.061 -6.594 3.986
Cd -4.296 -2.584 1.579
Cd -4.456 -6.449 3.916
Cd 0.221 -2.729 1.649
Ca -2.303 -6.054 6.206
Ca -5.135 -3.295 4.549
Ca 0.914 -3.636 4.731
Ca -1.917 -0.877 3.075
Mg 0.000 0.000 0.000
Mg -2.117 -4.589 2.783

5.
8
Lattice="8.750 0.000 0.000 0.000 8.750 0.000 4.375 4.375 3.457" Properties=species:S:1:pos:R:3 comment="Ca2MgCd (GGA-PBE, optimized geometry)" total_energy_ev_per_cell=-12.46 magnetic_moment_mub_per_cell=0.00 de_polymorph_kj_per_mol_atoms=27.9 sg=I-42d formation_energy_ev_per_atom=0.0704 vol_a3_per_cell=264.62 pbc="T T T"
Cd 8.750 4.375 1.728
Cd 0.000 0.000 0.000
Ca 2.026 6.562 0.864
Ca 10.937 11.098 2.592
Ca 6.724 2.187 0.864
Ca 6.562 6.401 2.592
Mg 4.375 4.375 0.000
Mg 4.375 8.750 1.728

6.
4
Lattice="6.082 -0.182 0.067 4.945 3.545 0.067 2.276 0.694 4.711" Properties=species:S:1:pos:R:3 comment="CaMg2Cd (GGA-PBE, optimized geometry)" total_energy_ev_per_cell=-6.58 magnetic_moment_mub_per_cell=0.00 sg=C2/m formation_energy_ev_per_atom=-0.1173 vol_a3_per_cell=105.21 pbc="T T T"
Mg 10.809 3.297 0.250
Mg 6.869 2.095 2.306
Cd 3.326 1.014 1.211
Ca 9.977 3.043 3.633

7.
10
Lattice="8.489 0.000 0.000 0.000 8.489 0.000 0.000 0.000 3.478" Properties=species:S:1:pos:R:3 comment="CaMg2Cd2 (GGA-PBE, optimized geometry)" total_energy_ev_per_cell=-15.41 magnetic_moment_mub_per_cell=0.00 de_polymorph_kj_per_mol_atoms=4.3 sg=P4/mbm formation_energy_ev_per_atom=-0.1370 vol_a3_per_cell=250.64 pbc="T T T"
Cd 1.090 3.154 0.000
Cd 5.335 1.090 0.000
Cd 3.154 7.398 0.000
Cd 7.398 5.335 0.000
Ca 4.244 4.244 0.000
Ca 0.000 0.000 0.000
Mg 2.814 1.430 1.739
Mg 7.058 2.814 1.739
Mg 1.430 5.675 1.739
Mg 5.675 7.058 1.739

8.
10
Lattice="-0.001 -7.532 -0.029 2.120 -3.789 6.154 -5.109 -3.780 4.041" Properties=species:S:1:pos:R:3 comment="Ca2MgCd7 (GGA-PBE, optimized geometry)" total_energy_ev_per_cell=-10.78 magnetic_moment_mub_per_cell=0.00 sg=Fm-3m formation_energy_ev_per_atom=0.1227 vol_a3_per_cell=302.11 pbc="T T T"
Ca -0.748 -3.775 2.542
Ca -2.243 -11.326 7.625
Cd -1.495 -7.551 5.083
Cd -3.323 -9.452 4.542
Cd 0.332 -5.650 5.625
Cd -0.740 -7.541 2.499
Cd -3.322 -5.645 4.556
Cd 0.331 -9.457 5.610
Cd -2.251 -7.560 7.667
Mg 0.000 0.000 0.000

9.
19
Lattice="7.488 0.000 2.400 -3.707 6.874 2.979 0.073 0.000 8.359" Properties=species:S:1:pos:R:3 comment="CaMg6Cd12 (GGA-PBE, optimized geometry)" total_energy_ev_per_cell=-24.55 magnetic_moment_mub_per_cell=0.00 de_polymorph_kj_per_mol_atoms=0.0 sg=R-3 formation_energy_ev_per_atom=-0.1052 vol_a3_per_cell=429.01 pbc="T T T"
Mg 4.104 1.446 4.690
Mg 6.030 2.060 7.266
Mg 1.485 3.368 4.272
Mg -0.251 5.428 9.048
Mg 2.368 3.506 9.466
Mg -2.177 4.814 6.472
Cd 3.078 1.086 7.699
Cd 4.976 1.882 10.106
Cd 1.842 6.078 11.294
Cd 0.775 5.788 6.039
Cd 0.354 3.013 7.173
Cd 4.374 4.316 11.803
Cd 3.499 3.861 6.565
Cd 2.708 6.420 8.413
Cd 2.011 0.796 2.444
Cd -0.521 2.558 1.935
Cd -1.123 4.992 3.632
Cd 1.144 0.454 5.325
Ca 0.000 0.000 0.000

10.
13
Lattice="-2.130 -5.528 -0.764 5.631 -5.410 0.096 -1.848 -3.452 6.781" Properties=species:S:1:pos:R:3 comment="CaMg10Cd2 (GGA-PBE, optimized geometry)" total_energy_ev_per_cell=-20.65 magnetic_moment_mub_per_cell=0.00 sg=Fmmm formation_energy_ev_per_atom=-0.0671 vol_a3_per_cell=312.04 pbc="T T T"
Mg -1.989 -4.490 3.009
Mg 2.976 -4.708 2.417
Mg -0.020 -6.709 1.897
Mg 1.673 -7.682 4.216
Mg 2.939 -7.743 1.132
Mg -0.924 -1.726 3.391
Mg 0.230 -3.488 1.245
Mg 1.423 -10.903 4.869
Mg -1.324 -9.683 3.696
Mg -1.286 -6.648 4.981
Ca 0.000 0.000 0.000
Cd 2.816 -2.705 0.048
Cd 1.751 -5.469 -0.334

11.
10
Lattice="8.575 0.000 0.000 0.000 8.575 0.000 0.000 0.000 3.311" Properties=species:S:1:pos:R:3 comment="CaMg2Cd2 (GGA-PBE, optimized geometry)" total_energy_ev_per_cell=-15.45 magnetic_moment_mub_per_cell=0.00 de_polymorph_kj_per_mol_atoms=3.9 sg=P4/mbm formation_energy_ev_per_atom=-0.1413 vol_a3_per_cell=243.47 pbc="T T T"
Mg 3.219 7.507 0.000
Mg 5.356 1.068 0.000
Mg 7.507 5.356 0.000
Mg 1.068 3.219 0.000
Cd 1.485 5.773 1.656
Cd 5.773 7.090 1.656
Cd 7.090 2.802 1.656
Cd 2.802 1.485 1.656
Ca 4.287 4.287 0.000
Ca 0.000 0.000 0.000

12.
10
Lattice="-0.783 -1.717 -3.067 -0.859 -2.953 1.872 -16.649 5.561 1.137" Properties=species:S:1:pos:R:3 comment="CaMg4Cd5 (GGA-PBE, optimized geometry)" total_energy_ev_per_cell=-14.53 magnetic_moment_mub_per_cell=0.00 sg=P4/mmm formation_energy_ev_per_atom=-0.1574 vol_a3_per_cell=228.05 pbc="T T T"
Cd -9.145 0.446 -0.029
Cd -6.012 -0.601 -0.243
Cd -15.468 2.558 0.403
Cd -2.823 -1.666 -0.460
Cd -12.279 1.492 0.186
Ca 0.000 0.000 0.000
Mg -9.904 3.308 0.676
Mg -6.745 2.253 0.461
Mg -13.057 4.361 0.892
Mg -3.592 1.200 0.245

Number 3 is which compound?
CaMg2Cd